[1]
Entry from Alexandria via LeMat-Bulk: an optimized crystal structure of ZrTl2W (PBE-GGA).

Unit cell a=3.7185 b=4.8349 c=9.4564 alpha=90.00 beta=90.00 gamma=90.00
Closest atoms and distances in Å follow each position.
Space group Immm (No. 71)
Asymmetric unit:
Zr (0.0000, 0.0000, 0.0000)  4 W 3.05, 8 Tl 3.06-3.33
Tl (0.0000, 0.5000, 0.2427)  2 W 2.95, 4 Tl 3.05, 2 Zr 3.06
W (0.0000, 0.0000, 0.5000)  4 Tl 2.95, 4 Zr 3.05

Results
Crystal system: orthorhombic
Electronic total energy, eV/cell: -48.12
DFT formation energy, meV per atom: 543

***

[2]
Entry from Alexandria via LeMat-Bulk: an optimized crystal structure of ZrTl2W (PBE-GGA).

Unit cell a=3.5842 b=5.1360 c=10.0167 alpha=90.00 beta=90.00 gamma=90.00
Closest atoms and distances in Å follow each position.
Space group Cmm2 (No. 35)
Asymmetric unit:
Zr (0.0000, 0.0000, 0.0000)  2 W 2.70
Tl (0.0000, 0.0000, 0.4430)  2 W 3.01, 4 Tl 3.13
Tl (0.0000, 0.5000, 0.7333)  6 Tl 3.13-3.42, 2 Zr 3.22
W (0.0000, 0.5000, 0.2020)  2 Zr 2.70, 2 Tl 3.01

Results
Crystal system: orthorhombic
Electronic total energy, eV/cell: -48.90
DFT formation energy, meV per atom: 446

***

[3]
Entry from Alexandria via LeMat-Bulk: an optimized crystal structure of ZrTlW3 (PBE-GGA).

Unit cell a=4.9378 b=4.9378 c=4.9378 alpha=90.00 beta=90.00 gamma=90.00
Closest atoms and distances in Å follow each position.
Space group Pm-3m (No. 221)
Asymmetric unit:
Zr (0.0000, 0.0000, 0.0000)  12 W 3.49
Tl (0.5000, 0.5000, 0.5000)  6 W 2.47
W (0.0000, 0.5000, 0.5000)  2 Tl 2.47

Results
Crystal system: cubic
Electronic total energy, eV/cell: -35.96
DFT formation energy, meV per atom: 2763